Record 1
First-principles (PBE-GGA) data for Pr2Dy3Er6Pb after structural relaxation, as listed in Alexandria.

abc: 6.089 6.089 11.723
angles: 94.98 94.98 120.02
Element x y z (fractional)
Er  0.590  0.917  0.749
Dy  0.833  0.167  0.500
Er  0.410  0.083  0.251
Er  0.757  0.757  0.252
Pr  0.334  0.666  0.000
Dy  0.167  0.833  0.500
Er  0.243  0.243  0.748
Er  0.083  0.410  0.251
Pr  0.666  0.334  0.000
Dy  0.500  0.500  0.500
Pb  0.000  0.000  0.000
Er  0.917  0.590  0.749

Values from the calculation:
Spin magnetization   0.00 μB per formula unit
DOS(E_F)   12.99 states/eV/f.u.
Raw total energy   -4.605 eV per atom


Record 2
First-principles (PBE-GGA) data for SrAlTe2S6 after structural relaxation, as listed in Alexandria.

abc: 7.639 9.650 9.650
angles: 60.34 69.83 69.83
Element x y z (fractional)
S  0.828  0.000  0.182
Al  0.750  0.773  0.227
Sr  0.250  0.840  0.160
Te  0.853  0.609  0.856
Te  0.147  0.391  0.144
S  0.989  0.819  0.627
Te  0.647  0.144  0.391
S  0.023  0.583  0.283
Sr  0.750  0.160  0.840
S  0.011  0.181  0.373
S  0.511  0.373  0.181
S  0.672  0.818  0.000
S  0.172  0.000  0.818
S  0.489  0.627  0.819
S  0.328  0.182  0.000
Te  0.353  0.856  0.609
S  0.477  0.717  0.417
S  0.977  0.417  0.717
Al  0.250  0.227  0.773
S  0.523  0.283  0.583

Values from the calculation:
Spin magnetization   0.00 μB per formula unit
Formation energy without anion corrections   -5.6 eV/f.u.
DOS(E_F)   4.54 states/eV/f.u.